Entry 1:
BeTlCd: optimized geometry, PBE. Values from VASP.

Quantum ESPRESSO input file:
```
&SYSTEM
  ibrav = 0, nat = 3, ntyp = 3
/
ATOMIC_SPECIES
Be 9.01 Be.upf
Tl 204.38 Tl.upf
Cd 112.41 Cd.upf
CELL_PARAMETERS angstrom
-4.276 0.861 -0.854
-3.187 -2.067 2.308
-2.441 2.269 2.941
ATOMIC_POSITIONS crystal
Be 0.750 0.750 0.750
Tl 0.500 0.500 0.500
Cd 0.000 0.000 0.000
```

Values from the calculation:
ΔE to the lowest computed polymorph in eV per atom: 0.000
Total energy in eV per cell: -5.80
Space group: No. 216

Entry 2:
AgMo2Cl: optimized geometry, PBE. Values from VASP.

Quantum ESPRESSO input file:
```
&SYSTEM
  ibrav = 0, nat = 4, ntyp = 3
/
ATOMIC_SPECIES
Cl 35.45 Cl.upf
Mo 95.94 Mo.upf
Ag 107.87 Ag.upf
CELL_PARAMETERS angstrom
-3.894 2.258 0.799
-2.921 0.803 -3.424
-3.998 -2.211 -0.160
ATOMIC_POSITIONS crystal
Cl 0.250 0.250 0.250
Mo 0.000 0.000 0.000
Mo 0.750 0.750 0.750
Ag 0.500 0.500 0.500
```

Values from the calculation:
ΔE to the lowest computed polymorph in eV per atom: 0.839
Total energy in eV per cell: -22.23
E_form (uncorrected) in meV/atom: 1031
Space group: No. 216

Entry 3:
Nd4Cu5As7: optimized geometry, PBE. Values from VASP.

Quantum ESPRESSO input file:
```
&SYSTEM
  ibrav = 0, nat = 16, ntyp = 3
/
ATOMIC_SPECIES
Cu 63.55 Cu.upf
As 74.92 As.upf
Nd 144.24 Nd.upf
CELL_PARAMETERS angstrom
5.422 0.000 -1.404
-0.364 5.410 -1.404
-0.062 -0.067 10.930
ATOMIC_POSITIONS crystal
Cu 0.250 0.750 0.500
As 0.500 0.000 0.000
As 0.500 0.500 0.000
As 0.072 0.580 0.653
Nd 0.865 0.376 0.241
As 0.420 0.420 0.347
Cu 0.000 0.000 0.000
Cu 0.749 0.749 0.498
Cu 0.750 0.250 0.500
As 0.000 0.500 0.000
Cu 0.251 0.251 0.502
Nd 0.135 0.135 0.759
Nd 0.376 0.865 0.241
As 0.928 0.928 0.347
Nd 0.624 0.624 0.759
As 0.580 0.072 0.653
```

Values from the calculation:
Total energy in eV per cell: -84.13
Space group: No. 121